Computed, not measured: crystalline Tm3InS6 at its relaxed geometry at the GGA-PBEsol level of DFT.

Summary:
crystal system = orthorhombic
E_form (uncorrected) = -17.4 eV per formula unit

a b c (Å): 3.7497 13.1346 16.2126
angles (deg): 90.00 90.00 90.00
Atoms (fractional coordinates):
Tm1 0.7501 0.3108 0.8542
S1 0.2501 0.3865 0.7535
S2 0.7501 0.1958 0.4792
S3 0.7505 0.5973 0.4099
Tm2 0.2503 0.2497 0.6073
S4 0.7500 0.5216 0.8936
S5 0.7500 0.1119 0.8801
In1 0.7499 0.0000 0.5000
S6 0.7500 0.8881 0.1199
Tm3 0.2499 0.1892 0.3542
Tm4 0.7497 0.7497 0.8927
S7 0.2495 0.9027 0.9099
S8 0.2498 0.6817 0.7863
Tm5 0.7500 0.5392 0.7253
S9 0.7502 0.8183 0.2863
S10 0.2495 0.0973 0.0901
S11 0.7502 0.1817 0.7137
S12 0.2500 0.9784 0.3936
In2 0.2501 0.5000 0.0000
Tm6 0.2499 0.8108 0.6458
S13 0.2499 0.6958 0.0208
Tm7 0.2503 0.7503 0.3927
S14 0.7505 0.4027 0.5901
S15 0.2500 0.6119 0.6199
S16 0.2500 0.3881 0.3801
S17 0.2498 0.3183 0.2137
S18 0.2500 0.0216 0.6064
S19 0.7499 0.8865 0.7465
S20 0.2499 0.3042 0.9792
Tm8 0.7500 0.4608 0.2747
S21 0.7499 0.1135 0.2535
Tm9 0.2500 0.0392 0.7747
In3 0.2517 0.5000 0.5000
Tm10 0.7497 0.2503 0.1073
S22 0.7501 0.8042 0.5208
In4 0.7483 0.0000 0.0000
Tm11 0.7501 0.6892 0.1458
S23 0.7500 0.4784 0.1064
S24 0.2501 0.6135 0.2465
Tm12 0.2500 0.9608 0.2253


Computed, not measured: crystalline PtSe2Cl at its relaxed geometry at the GGA-PBEsol level of DFT.

Summary:
crystal system = cubic
E_form (uncorrected) = 1.5 eV per formula unit
E above lowest polymorph = 736 meV per atom

a b c (Å): 4.5933 4.5933 4.5933
angles (deg): 60.00 60.00 60.00
Atoms (fractional coordinates):
Se1 0.7500 0.7500 0.7500
Cl1 0.5000 0.5000 0.5000
Se2 0.2500 0.2500 0.2500
Pt1 0.0000 0.0000 0.0000


Computed, not measured: crystalline CuRu3Au at its relaxed geometry at the GGA-PBEsol level of DFT.

Summary:
formation energy = 2609 meV per atom
crystal system = cubic

a b c (Å): 4.7635 4.7635 4.7635
angles (deg): 90.00 90.00 90.00
Each line ends with the local moment (μB).
Atoms (fractional coordinates):
Cu1 0.5000 0.5000 0.5000  0.10
Au1 0.0000 0.0000 0.0000  0.30
Ru1 0.0000 0.5000 0.0000  1.79
Ru2 0.5000 0.0000 0.0000  1.79
Ru3 0.0000 0.0000 0.5000  1.79


Computed, not measured: crystalline La2Hg at its relaxed geometry at the GGA-PBEsol level of DFT.

Summary:
formation energy = -318 meV per atom
crystal system = cubic

a b c (Å): 10.1643 10.1643 10.1643
angles (deg): 60.00 60.00 60.00
Atoms (fractional coordinates):
La1 0.0628 0.4372 0.4372
Hg1 0.8411 0.4767 0.8411
Hg2 0.4767 0.8411 0.8411
La2 0.6250 0.6250 0.1250
La3 0.1872 0.8128 0.1872
La4 0.8128 0.1872 0.8128
La5 0.4372 0.0628 0.4372
La6 0.1250 0.6250 0.6250
La7 0.0628 0.4372 0.0628
La8 0.6250 0.6250 0.6250
Hg3 0.7733 0.4089 0.4089
La9 0.8128 0.1872 0.1872
Hg4 0.4089 0.4089 0.4089
La10 0.4372 0.0628 0.0628
Hg5 0.8411 0.8411 0.4767
La11 0.1872 0.1872 0.8128
La12 0.1872 0.8128 0.8128
Hg6 0.4089 0.7733 0.4089
La13 0.4372 0.4372 0.0628
La14 0.0628 0.0628 0.4372
Hg7 0.4089 0.4089 0.7733
La15 0.8128 0.8128 0.1872
Hg8 0.8411 0.8411 0.8411
La16 0.6250 0.1250 0.6250


Computed, not measured: crystalline PrGePd2 at its relaxed geometry at the GGA-PBEsol level of DFT.

Summary:
formation energy = -877 meV per atom
crystal system = orthorhombic

a b c (Å): 5.6929 6.9856 7.5753
angles (deg): 90.00 90.00 90.00
Atoms (fractional coordinates):
Pd1 0.5889 0.9471 0.3233
Ge1 0.3500 0.2500 0.3781
Pd2 0.0889 0.4471 0.1767
Pd3 0.0889 0.0529 0.1767
Pr1 0.6472 0.2500 0.0321
Pd4 0.4111 0.0529 0.6767
Pd5 0.5889 0.5529 0.3233
Ge2 0.1500 0.2500 0.8781
Pd6 0.9111 0.9471 0.8233
Pr2 0.1472 0.7500 0.4679
Pr3 0.8528 0.2500 0.5321
Pd7 0.9111 0.5529 0.8233
Ge3 0.6500 0.7500 0.6219
Pd8 0.4111 0.4471 0.6767
Ge4 0.8500 0.7500 0.1219
Pr4 0.3528 0.7500 0.9679


Computed, not measured: crystalline CsRb2YCl6 at its relaxed geometry at the GGA-PBEsol level of DFT.

Summary:
crystal system = cubic
E_form (uncorrected) = -20.4 eV per formula unit

a b c (Å): 8.1914 8.1914 8.1914
angles (deg): 60.00 60.00 60.00
Atoms (fractional coordinates):
Cl1 0.7754 0.2246 0.7754
Cl2 0.7754 0.7754 0.2246
Rb1 0.7500 0.7500 0.7500
Cl3 0.2246 0.7754 0.7754
Cs1 0.5000 0.5000 0.5000
Cl4 0.2246 0.2246 0.7754
Y1 0.0000 0.0000 0.0000
Cl5 0.2246 0.7754 0.2246
Rb2 0.2500 0.2500 0.2500
Cl6 0.7754 0.2246 0.2246


Computed, not measured: crystalline Ca3SnPd at its relaxed geometry at the GGA-PBEsol level of DFT.

Summary:
formation energy = -393 meV per atom
crystal system = cubic

a b c (Å): 5.3679 5.3679 5.3679
angles (deg): 90.00 90.00 90.00
Atoms (fractional coordinates):
Pd1 0.0000 0.0000 0.0000
Ca1 0.0000 0.5000 0.0000
Ca2 0.0000 0.0000 0.5000
Sn1 0.5000 0.5000 0.5000
Ca3 0.5000 0.0000 0.0000


Computed, not measured: crystalline CaSnB3 at its relaxed geometry at the GGA-PBEsol level of DFT.

Summary:
formation energy = 1566 meV per atom
crystal system = cubic

a b c (Å): 4.4881 4.4881 4.4881
angles (deg): 90.00 90.00 90.00
Atoms (fractional coordinates):
B1 0.0000 0.0000 0.5000
B2 0.0000 0.5000 0.0000
Sn1 0.0000 0.0000 0.0000
B3 0.5000 0.0000 0.0000
Ca1 0.5000 0.5000 0.5000


Computed, not measured: crystalline Mg2CoMo at its relaxed geometry at the GGA-PBEsol level of DFT.

Summary:
formation energy = 363 meV per atom
crystal system = orthorhombic
E above lowest polymorph = 60 meV per atom

a b c (Å): 3.0066 4.6418 5.2924
angles (deg): 116.01 106.50 90.00
Atoms (fractional coordinates):
Mg1 0.0268 0.0268 0.0535
Mg2 0.2441 0.7441 0.4881
Co1 0.7664 0.2664 0.5328
Mo1 0.4628 0.4628 0.9256


Computed, not measured: crystalline MnCSe3 at its relaxed geometry at the GGA-PBEsol level of DFT.

Summary:
crystal system = cubic
E_form (uncorrected) = 5.0 eV per formula unit

a b c (Å): 4.3582 4.3582 4.3582
angles (deg): 90.00 90.00 90.00
Each line ends with the local moment (μB).
Atoms (fractional coordinates):
Mn1 0.5000 0.5000 0.5000  4.24
Se1 0.0000 0.5000 0.0000  -0.03
Se2 0.0000 0.0000 0.5000  -0.03
Se3 0.5000 0.0000 0.0000  -0.03
C1 0.0000 0.0000 0.0000  -0.01


Computed, not measured: crystalline CoTeI2 at its relaxed geometry at the GGA-PBEsol level of DFT.

Summary:
crystal system = cubic
E_form (uncorrected) = 3.6 eV per formula unit

a b c (Å): 5.2152 5.2152 5.2152
angles (deg): 60.00 60.00 60.00
Each line ends with the local moment (μB).
Atoms (fractional coordinates):
Co1 0.0000 0.0000 0.0000  1.99
I1 0.7500 0.7500 0.7500  0.03
I2 0.2500 0.2500 0.2500  0.03
Te1 0.5000 0.5000 0.5000  -0.08


Computed, not measured: crystalline FeHg2Ir at its relaxed geometry at the GGA-PBEsol level of DFT.

Summary:
formation energy = 469 meV per atom
crystal system = tetragonal
E above lowest polymorph = 219 meV per atom

a b c (Å): 4.0311 4.0311 4.9318
angles (deg): 114.12 114.12 90.00
Each line ends with the local moment (μB).
Atoms (fractional coordinates):
Fe1 0.2500 0.7500 0.5000  2.96
Ir1 0.5000 0.5000 0.0000  0.40
Hg1 0.7500 0.2500 0.5000  -0.01
Hg2 0.0000 0.0000 0.0000  -0.02